Entry from Alexandria: an optimized crystal structure of FeAsF3 (PBE+U).

```
data_FeAsF3
_cell_length_a 4.198
_cell_length_b 4.198
_cell_length_c 4.198
_cell_angle_alpha 90.00
_cell_angle_beta 90.00
_cell_angle_gamma 90.00
_symmetry_space_group_name_H-M 'P m -3 m'
_symmetry_Int_Tables_number 221
_symmetry_space_group_name_Hall '-P 4 2 3'
loop_
_atom_site_label
_atom_site_fract_x
_atom_site_fract_y
_atom_site_fract_z
Fe1 0.000 0.000 0.000
As1 0.500 0.500 0.500
F1 0.000 0.000 0.500
```

Results
Its total energy is -3.90 eV per atom. The energy above the lowest structure with this stoichiometry is 114.6 meV per atom.